1.
First-principles (PBE) data for a relaxed CsNaGe2 crystal, as listed in Alexandria via LeMat-Bulk.

a = 7.269 Å, b = 8.609 Å, c = 8.924 Å
α = 90.00°, β = 90.00°, γ = 90.00°
Sites, in units of the cell vectors:
1 Ge 0.417 0.378 0.452
2 Ge 0.083 0.378 0.452
3 Ge 0.583 0.122 0.952
4 Na 0.750 0.815 0.819
5 Cs 0.750 0.001 0.351
6 Ge 0.083 0.878 0.048
7 Na 0.250 0.185 0.181
8 Cs 0.250 0.499 0.851
9 Cs 0.750 0.501 0.149
10 Cs 0.250 0.999 0.649
11 Na 0.250 0.685 0.319
12 Ge 0.917 0.122 0.952
13 Ge 0.583 0.622 0.548
14 Na 0.750 0.315 0.681
15 Ge 0.417 0.878 0.048
16 Ge 0.917 0.622 0.548

Results
DOS(E_F)   0.204 states/eV per atom
DFT formation energy   -0.11 eV per atom
SG   Pnma (62)
Energy above the lowest structure with this stoichiometry   0.387 eV/f.u.
Spin magnetization   0.0 μB/f.u.

---

2.
First-principles (PBE) data for a relaxed TmSc2Al9 crystal, as listed in Alexandria via LeMat-Bulk.

a = 5.429 Å, b = 5.429 Å, c = 9.215 Å
α = 72.87°, β = 72.87°, γ = 60.00°
Sites, in units of the cell vectors:
1 Al 0.335 0.335 0.995
2 Al 0.589 0.589 0.744
3 Al 0.411 0.922 0.256
4 Al 0.665 0.665 0.005
5 Al 0.500 0.500 0.500
6 Tm 0.000 0.000 0.000
7 Al 0.078 0.589 0.744
8 Sc 0.143 0.143 0.570
9 Al 0.922 0.411 0.256
10 Al 0.411 0.411 0.256
11 Sc 0.857 0.857 0.430
12 Al 0.589 0.078 0.744

Results
DOS(E_F)   0.531 states/eV per atom
DFT formation energy   -0.32 eV per atom
SG   R-3m (166)
Energy above the lowest structure with this stoichiometry   1.439 eV/f.u.
Spin magnetization   0.0 μB/f.u.

---

3.
First-principles (PBE) data for a relaxed K3In2Sb2 crystal, as listed in Alexandria via LeMat-Bulk.

a = 5.518 Å, b = 4.622 Å, c = 11.291 Å
α = 101.81°, β = 104.14°, γ = 90.00°
Sites, in units of the cell vectors:
1 In 0.435 0.435 0.870
2 In 0.565 0.565 0.130
3 K 0.186 0.686 0.372
4 K 0.814 0.314 0.628
5 K 0.000 0.000 0.000
6 Sb 0.358 0.858 0.715
7 Sb 0.642 0.142 0.285

Results
DOS(E_F)   0.365 states/eV per atom
Uncorrected formation energy   -357 meV per atom
SG   Immm (71)
Spin magnetization   0.0 μB/f.u.

---

4.
First-principles (PBE) data for a relaxed As2CI crystal, as listed in Alexandria via LeMat-Bulk.

a = 4.769 Å, b = 4.769 Å, c = 4.769 Å
α = 60.00°, β = 60.00°, γ = 60.00°
Sites, in units of the cell vectors:
1 I 0.500 0.500 0.500
2 As 0.250 0.250 0.250
3 C 0.000 0.000 0.000
4 As 0.750 0.750 0.750

Results
DOS(E_F)   0.517 states/eV per atom
Uncorrected formation energy   1961 meV per atom
SG   Fm-3m (225)
Energy above the lowest structure with this stoichiometry   4.042 eV/f.u.
Spin magnetization   0.0 μB/f.u.

---

5.
First-principles (PBE) data for a relaxed BePSCl2 crystal, as listed in Alexandria via LeMat-Bulk.

a = 4.684 Å, b = 4.684 Å, c = 4.709 Å
α = 90.00°, β = 90.00°, γ = 90.00°
Sites, in units of the cell vectors:
1 Cl 0.500 0.000 0.000
2 P 0.000 0.000 0.000
3 Cl 0.000 0.500 0.000
4 Be 0.500 0.500 0.500
5 S 0.000 0.000 0.500

Results
DOS(E_F)   0.301 states/eV per atom
Uncorrected formation energy   541 meV per atom
SG   P4/mmm (123)
Energy above the lowest structure with this stoichiometry   1.895 eV/f.u.
Spin magnetization   0.0 μB/f.u.

---

6.
First-principles (PBE) data for a relaxed BaReRh crystal, as listed in Alexandria via LeMat-Bulk.

a = 10.917 Å, b = 4.307 Å, c = 4.307 Å
α = 60.00°, β = 90.16°, γ = 90.04°
Sites, in units of the cell vectors:
1 Re 0.192 0.448 0.612
2 Ba 0.484 0.781 0.947
3 Re 0.179 0.782 0.945
4 Rh 0.062 0.115 0.277
5 Ba 0.886 0.449 0.609
6 Rh 0.309 0.115 0.279

Results
DOS(E_F)   0.848 states/eV per atom
DFT formation energy   0.12 eV per atom
SG   C2/m (12)
Energy above the lowest structure with this stoichiometry   0.000 eV/f.u.
Spin magnetization   0.0 μB/f.u.

---

7.
First-principles (PBE) data for a relaxed TmPu2Tl3Te6 crystal, as listed in Alexandria via LeMat-Bulk.

a = 7.745 Å, b = 7.745 Å, c = 8.551 Å
α = 98.68°, β = 98.68°, γ = 119.99°
Each line ends with the local moment (μB).
Sites, in units of the cell vectors:
1 Te 0.071 0.399 0.213  -0.08
2 Te 0.743 0.743 0.214  -0.08
3 Te 0.399 0.071 0.213  -0.08
4 Tm 0.000 0.000 0.000  0.00
5 Tl 0.832 0.168 0.500  -0.01
6 Tl 0.168 0.832 0.500  -0.01
7 Pu 0.666 0.334 0.000  5.22
8 Te 0.929 0.601 0.787  -0.08
9 Tl 0.500 0.500 0.500  -0.01
10 Te 0.257 0.257 0.786  -0.08
11 Pu 0.334 0.666 0.000  5.22
12 Te 0.601 0.929 0.787  -0.08

Results
DOS(E_F)   2.257 states/eV per atom
Uncorrected formation energy   -858 meV per atom
SG   C2/m (12)
Spin magnetization   10.0 μB/f.u.

---

8.
First-principles (PBE) data for a relaxed Pr4HgSe2S crystal, as listed in Alexandria via LeMat-Bulk.

a = 4.228 Å, b = 7.458 Å, c = 7.466 Å
α = 108.96°, β = 90.00°, γ = 90.00°
Sites, in units of the cell vectors:
1 Pr 0.000 0.761 0.255
2 Pr 0.500 0.238 0.244
3 Se 0.500 0.000 0.500
4 S 0.000 0.000 0.000
5 Se 0.000 0.500 0.500
6 Hg 0.500 0.500 0.000
7 Pr 0.000 0.239 0.745
8 Pr 0.500 0.762 0.756

Results
DOS(E_F)   0.395 states/eV per atom
Uncorrected formation energy   -1515 meV per atom
SG   P2/m (10)
Spin magnetization   0.0 μB/f.u.